[1]
Compound: BaTe2As
Source: the Alexandria database
Functional: PBE-GGA
Structure: relaxed

Total DFT energy (no corrections) ... -3.91 eV/atom
Energy relative to the elements, uncorrected ... -270 kJ/mol of formula units
M_tot ... 0.000 μB per formula unit

a b c (Å): 4.2436 6.0683 9.9765
angles (deg): 90.00 90.00 90.00
Space group Immm (No. 71)
One atom of each set of equivalent atoms:
Ba 0.0000 0.0000 0.0000 (multiplicity 2)
Te 0.0000 0.5000 0.1970 (multiplicity 4)
As 0.0000 0.0000 0.5000 (multiplicity 2)



[2]
Compound: Th2BiPtRh5
Source: the Alexandria database
Functional: PBE-GGA
Structure: relaxed

Total DFT energy (no corrections) ... -7.06 eV/atom
M_tot ... 0.000 μB per formula unit
DFT formation energy ... -0.2292 eV/atom

a b c (Å): 8.5021 8.5021 10.4961
angles (deg): 90.00 90.00 90.00
Space group I4/mcm (No. 140)
One atom of each set of equivalent atoms:
Th 0.1398 0.3602 0.0000 (multiplicity 8)
Bi 0.0000 0.0000 0.2500 (multiplicity 4)
Pt 0.0000 0.5000 0.2500 (multiplicity 4)
Rh 0.0000 0.0000 0.0000 (multiplicity 4)
Rh 0.1905 0.3095 0.3645 (multiplicity 16)



[3]
Compound: K2MgNiH6
Source: the Alexandria database
Functional: PBE-GGA
Structure: relaxed

Total DFT energy (no corrections) ... -3.13 eV/atom
M_tot ... 0.662 μB per formula unit

a b c (Å): 5.7822 5.7822 4.8576
angles (deg): 90.00 90.00 120.00
Space group P-3m1 (No. 164)
One atom of each set of equivalent atoms:
K 0.3333 0.6667 0.2981 (multiplicity 2)
Mg 0.0000 0.0000 0.0000 (multiplicity 1)
Ni 0.0000 0.0000 0.5000 (multiplicity 1)
H 0.1359 0.2717 0.7025 (multiplicity 6)



[4]
Compound: Hf3BeSi
Source: the Alexandria database
Functional: PBE-GGA
Structure: relaxed

Total DFT energy (no corrections) ... -7.64 eV/atom
Energy relative to the elements, uncorrected ... 79 kJ/mol of formula units
M_tot ... 0.000 μB per formula unit

a b c (Å): 4.5808 4.5808 4.5808
angles (deg): 90.00 90.00 90.00
Space group Pm-3m (No. 221)
One atom of each set of equivalent atoms:
Hf 0.0000 0.0000 0.5000 (multiplicity 3)
Be 0.0000 0.0000 0.0000 (multiplicity 1)
Si 0.5000 0.5000 0.5000 (multiplicity 1)



[5]
Compound: ZrAgSb2
Source: the Alexandria database
Functional: PBE-GGA
Structure: relaxed

Total DFT energy (no corrections) ... -5.15 eV/atom
Energy relative to the elements, uncorrected ... -91 kJ/mol of formula units
M_tot ... 0.000 μB per formula unit

a b c (Å): 3.7562 3.8029 6.3431
angles (deg): 90.00 90.00 90.00
Space group Pmmm (No. 47)
One atom of each set of equivalent atoms:
Zr 0.0000 0.0000 0.0000 (multiplicity 1)
Ag 0.0000 0.0000 0.5000 (multiplicity 1)
Sb 0.5000 0.5000 0.2457 (multiplicity 2)



[6]
Compound: DyTm2Fe
Source: the Alexandria database
Functional: PBE-GGA
Structure: relaxed

Total DFT energy (no corrections) ... -5.54 eV/atom
M_tot ... 0.000 μB per formula unit
DFT formation energy ... -0.0383 eV/atom

a b c (Å): 6.9973 9.0221 6.1916
angles (deg): 90.00 90.00 90.00
Space group Pnma (No. 62)
One atom of each set of equivalent atoms:
Dy 0.0476 0.2500 0.1344 (multiplicity 4)
Tm 0.1741 0.0663 0.6715 (multiplicity 8)
Fe 0.1114 0.7500 0.4652 (multiplicity 4)



[7]
Compound: ZnInBr4
Source: the Alexandria database
Functional: PBE-GGA
Structure: relaxed

Total DFT energy (no corrections) ... -1.50 eV/atom
Energy relative to the elements, uncorrected ... 166 kJ/mol of formula units
M_tot ... 1.607 μB per formula unit

a b c (Å): 9.1412 9.1412 9.1412
angles (deg): 90.00 90.00 90.00
Space group F-43m (No. 216)
One atom of each set of equivalent atoms:
Zn 0.0000 0.0000 0.0000 (multiplicity 4)
In 0.2500 0.2500 0.2500 (multiplicity 4)
Br 0.1259 0.1259 0.6259 (multiplicity 16)



[8]
Compound: Dy6Sb5I
Source: the Alexandria database
Functional: PBE-GGA
Structure: relaxed

Total DFT energy (no corrections) ... -5.25 eV/atom
Energy relative to the elements, uncorrected ... -1276 kJ/mol of formula units
M_tot ... 0.000 μB per formula unit

a b c (Å): 7.6160 13.1847 7.5963
angles (deg): 90.00 109.35 90.00
Space group C2/m (No. 12)
One atom of each set of equivalent atoms:
Dy 0.2334 0.0000 0.2543 (multiplicity 4)
Dy 0.2361 0.1758 0.7379 (multiplicity 8)
Sb 0.0000 0.0000 0.5000 (multiplicity 2)
Sb 0.0000 0.1687 0.0000 (multiplicity 4)
Sb 0.0000 0.3412 0.5000 (multiplicity 4)
I 0.0000 0.5000 0.0000 (multiplicity 2)